# La3TlSe

Crystalline La3TlSe at its relaxed geometry (PBE-GGA, Alexandria).

The space group is Pm-3m (No. 221) and the conventional cell measures 5.670, 5.670 and 5.670 Å, with angles of 90.00, 90.00 and 90.00 degrees. The distinct sites, in fractional coordinates, are La at (0.000, 0.000, 0.500), Tl at (0.500, 0.500, 0.500) and Se at (0.000, 0.000, 0.000).

The value obtained for the polymorph energy (0 for the lowest one) is 203 meV/atom. As for the volume: 36.5 Å³/atom. As for the magnetization: 0.00 μB per cell.